Entry 1
Material: MgTiPO2
Method: DFT, PBE-GGA
State: optimized geometry

Structure (extended XYZ):
```
5
Lattice="3.744 0.000 0.000 0.000 3.744 0.000 0.000 0.000 5.097" Properties=species:S:1:pos:R:3 pbc="T T T"
P 0.000 0.000 2.548
Mg 0.000 0.000 0.000
O 0.000 1.872 0.000
O 1.872 0.000 0.000
Ti 1.872 1.872 2.548
```

## Properties
For the volume, the calculation gives 71.4 Å³/cell. Its symmetry is P4/mmm. The value obtained for the magnetization is 0.94 μB/f.u.

Entry 2
Material: MgTiPO2
Method: DFT, PBE-GGA
State: optimized geometry

Structure (extended XYZ):
```
5
Lattice="-0.028 1.899 3.282 -1.699 -2.941 1.687 4.700 -2.021 1.210" Properties=species:S:1:pos:R:3 pbc="T T T"
P 2.350 -1.011 0.605
Mg 1.486 -1.531 3.089
O -0.849 -1.470 0.843
O -0.014 0.949 1.641
Ti 0.000 0.000 0.000
```

## Properties
For the volume, the calculation gives 75.6 Å³/cell. Its symmetry is P4/mmm. The value obtained for the magnetization is 0.00 μB/f.u.

Most stable structure, least stable structure: entry 2, entry 1.